Entry 1:
DFT (PBE) results for a geometry-optimized Tc3BSb structure.

a b c (Å): 4.1884 4.1884 4.1884
angles (deg): 90.00 90.00 90.00
Closest atoms and distances in Å follow each position.
Sites, in units of the cell vectors:
Tc  0.0000  0.0000  0.5000  2 B 2.09
Tc  0.0000  0.5000  0.0000  2 B 2.09
Tc  0.5000  0.0000  0.0000  2 B 2.09
B  0.0000  0.0000  0.0000  6 Tc 2.09
Sb  0.5000  0.5000  0.5000  12 Tc 2.96



Entry 2:
DFT (PBE) results for a geometry-optimized TcB3Sb structure.

a b c (Å): 4.1834 4.1834 4.1834
angles (deg): 90.00 90.00 90.00
Closest atoms and distances in Å follow each position.
Sites, in units of the cell vectors:
Tc  0.0000  0.0000  0.0000  6 B 2.09
B  0.0000  0.0000  0.5000  2 Tc 2.09
B  0.0000  0.5000  0.0000  2 Tc 2.09
B  0.5000  0.0000  0.0000  2 Tc 2.09
Sb  0.5000  0.5000  0.5000  12 B 2.96



| no. | N(E_F) (states/eV/cell) | raw formation energy (meV per atom) |
| --- | --- | --- |
| 1 | 2.97 | 147.4 |
| 2 | 4.21 | 1244.0 |